w.
TbPmCuNi: optimized geometry, PBE.

Results
total moment = 0.00 μB per cell

Geometry as POSCAR:
```
TbPmCuNi
1.0
4.4375 0.0000 0.0000
0.0000 1.8872 5.1935
0.0000 -1.8872 5.1935
Tb Pm Cu Ni
1 1 1 1
Cartesian
0.0000 0.0000 0.0000
2.2187 0.0000 2.8882
0.0000 0.0000 7.3448
2.2187 0.0000 5.8840
```



x.
TbPmCuNi: optimized geometry, PBE.

Results
total moment = 0.00 μB per cell

Geometry as POSCAR:
```
TbPmCuNi
1.0
0.0000 3.4785 3.4785
3.4785 0.0000 3.4785
3.4785 3.4785 0.0000
Tb Pm Cu Ni
1 1 1 1
Cartesian
0.0000 0.0000 0.0000
3.4785 3.4785 3.4785
5.2178 5.2178 5.2178
1.7393 1.7393 1.7393
```



Going by the computed energies, the most stable comes first: w, x.



w.
PmZnCuNi: optimized geometry, PBE.

Results
total moment = 0.00 μB per cell

Geometry as POSCAR:
```
PmZnCuNi
1.0
3.6680 -2.1201 0.0000
3.6680 2.1201 0.0000
-2.4597 0.0000 4.6401
Pm Zn Cu Ni
1 1 1 1
Cartesian
0.0000 0.0000 0.0000
2.4378 0.0000 2.4358
4.8839 0.0000 1.8164
-0.0089 0.0000 2.8135
```



x.
PmZnCuNi: optimized geometry, PBE.

Results
total moment = 0.00 μB per cell

Geometry as POSCAR:
```
PmZnCuNi
1.0
0.0000 3.2578 3.2578
3.2578 0.0000 3.2578
3.2578 3.2578 0.0000
Pm Zn Cu Ni
1 1 1 1
Cartesian
0.0000 0.0000 0.0000
3.2578 3.2578 3.2578
1.6289 1.6289 1.6289
4.8867 4.8867 4.8867
```



Going by the computed energies, the most stable comes first: w, x.



w.
PrCuNi3: optimized geometry, PBE.

Results
total moment = 0.00 μB per cell

Geometry as POSCAR:
```
PrCuNi3
1.0
5.4203 0.0000 0.0000
0.0000 7.1737 0.0000
0.0000 0.0000 4.4265
Pr Cu Ni
2 2 6
Cartesian
0.0000 0.0000 0.0000
2.7102 3.5869 0.0000
0.0000 3.5869 2.2133
2.7102 0.0000 2.2133
0.0000 3.5869 0.0000
1.3507 1.7906 2.2133
1.3595 5.3775 2.2133
2.7102 0.0000 0.0000
4.0609 1.7962 2.2133
4.0696 5.3831 2.2133
```



x.
PrCuNi3: optimized geometry, PBE.

Results
total moment = 0.00 μB per cell

Geometry as POSCAR:
```
PrCuNi3
1.0
-2.4404 3.3745 4.6740
2.4404 -3.3745 4.6740
2.4404 3.3745 -4.6740
Pr Cu Ni
2 2 6
Cartesian
0.0000 0.0000 0.0000
0.0000 3.3745 0.0000
2.4404 1.6872 0.2574
0.0000 1.6872 4.4166
2.4404 -0.4344 1.8397
2.4404 2.9401 -1.8397
-1.2202 1.6872 2.3370
1.2202 1.6872 2.3370
0.0000 0.4344 6.5137
0.0000 3.8089 2.8342
```



Going by the computed energies, the most stable comes first: x, w.



w.
PrCu2Ni2: optimized geometry, PBE.

Results
total moment = 0.00 μB per cell

Geometry as POSCAR:
```
PrCu2Ni2
1.0
-1.9467 1.9467 5.3025
1.9467 -1.9467 5.3025
1.9467 1.9467 -5.3025
Pr Cu Ni
1 2 2
Cartesian
0.0000 0.0000 0.0000
1.9467 0.0000 2.6513
0.0000 1.9467 2.6513
0.0000 0.0000 4.1363
0.0000 0.0000 6.4688
```



x.
PrCu2Ni2: optimized geometry, PBE.

Results
total moment = 0.00 μB per cell

Geometry as POSCAR:
```
PrCu2Ni2
1.0
0.0000 4.7883 6.5343
2.6341 0.0000 6.5343
2.6341 4.7883 0.0000
Pr Cu Ni
2 4 4
Cartesian
0.6585 1.1971 1.6336
4.6097 8.3795 11.4351
1.9756 3.5912 3.5784
1.9756 3.5912 6.2231
3.2926 5.9854 6.8455
3.2926 5.9854 9.4903
1.9756 1.5742 4.9007
3.2926 3.9684 8.1679
1.9756 5.6083 4.9007
3.2926 8.0024 8.1679
```



Going by the computed energies, the most stable comes first: w, x.